The following is a GGA-PBE calculation of ZrSnTeI2 after structural relaxation, from Alexandria.

The structure in POSCAR format:
```
ZrSnTeI2
1.0
5.709 0.000 0.000
0.000 5.709 0.000
0.000 0.000 5.696
Zr Sn Te I
1 1 1 2
Cartesian
0.000 0.000 0.000
2.854 2.854 2.848
0.000 0.000 2.848
0.000 2.854 0.000
2.854 0.000 0.000
```

Formation energy without anion corrections ... -0.57 eV per formula unit
Size of the total moment ... 1.44 μB per formula unit
Total energy ... -3.87 eV/atom
Space group ... P4/mmm, No. 123
Energy above the lowest structure with this stoichiometry ... 0.000 eV per atom